1.
Below is crystalline ReRhICl2 at its relaxed geometry, with properties calculated at the GGA-PBE level.

Structure (CIF):
```
data_ReRhICl2
_chemical_formula_sum 'Re1 Rh1 I1 Cl2'
_cell_length_a 3.723
_cell_length_b 4.983
_cell_length_c 6.986
_cell_angle_alpha 86.56
_cell_angle_beta 74.79
_cell_angle_gamma 89.99
_symmetry_space_group_name_H-M 'P 1'
_symmetry_Int_Tables_number 1
_symmetry_space_group_name_Hall 'P 1'
loop_
_atom_site_label
_atom_site_type_symbol
_atom_site_fract_x
_atom_site_fract_y
_atom_site_fract_z
Re1 Re 0.000 0.000 0.000
Rh1 Rh 0.407 0.818 0.188
I1 I 0.858 0.401 0.288
Cl1 Cl 0.141 0.785 0.714
Cl2 Cl 0.566 0.284 0.866
```


2.
Below is crystalline ReRhICl2 at its relaxed geometry, with properties calculated at the GGA-PBE level.

Structure (CIF):
```
data_ReRhICl2
_chemical_formula_sum 'Re1 Rh1 I1 Cl2'
_cell_length_a 3.831
_cell_length_b 6.053
_cell_length_c 6.192
_cell_angle_alpha 117.31
_cell_angle_beta 91.93
_cell_angle_gamma 99.15
_symmetry_space_group_name_H-M 'P 1'
_symmetry_Int_Tables_number 1
_symmetry_space_group_name_Hall 'P 1'
loop_
_atom_site_label
_atom_site_type_symbol
_atom_site_fract_x
_atom_site_fract_y
_atom_site_fract_z
Re1 Re 0.000 0.000 0.000
Rh1 Rh 0.708 0.568 0.758
I1 I 0.143 0.440 0.430
Cl1 Cl 0.470 0.851 0.149
Cl2 Cl 0.519 0.136 0.845
```


3.
Below is crystalline ReRhICl2 at its relaxed geometry, with properties calculated at the GGA-PBE level.

Structure (CIF):
```
data_ReRhICl2
_chemical_formula_sum 'Re1 Rh1 I1 Cl2'
_cell_length_a 3.099
_cell_length_b 6.670
_cell_length_c 6.686
_cell_angle_alpha 71.29
_cell_angle_beta 76.67
_cell_angle_gamma 77.14
_symmetry_space_group_name_H-M 'P 1'
_symmetry_Int_Tables_number 1
_symmetry_space_group_name_Hall 'P 1'
loop_
_atom_site_label
_atom_site_type_symbol
_atom_site_fract_x
_atom_site_fract_y
_atom_site_fract_z
Re1 Re 0.000 0.000 0.000
Rh1 Rh 0.623 0.081 0.675
I1 I 0.932 0.424 0.727
Cl1 Cl 0.548 0.731 0.162
Cl2 Cl 0.783 0.156 0.287
```


4.
Below is crystalline ReRhICl2 at its relaxed geometry, with properties calculated at the GGA-PBE level.

Structure (CIF):
```
data_ReRhICl2
_chemical_formula_sum 'Re2 Rh2 I2 Cl4'
_cell_length_a 12.719
_cell_length_b 3.122
_cell_length_c 6.767
_cell_angle_alpha 90.00
_cell_angle_beta 115.30
_cell_angle_gamma 90.00
_symmetry_space_group_name_H-M 'C 1 m 1'
_symmetry_Int_Tables_number 8
_symmetry_space_group_name_Hall 'C -2y'
loop_
_atom_site_label
_atom_site_type_symbol
_atom_site_fract_x
_atom_site_fract_y
_atom_site_fract_z
Re1 Re 0.000 0.000 0.000
Rh1 Rh 0.392 0.000 0.171
I1 I 0.181 0.000 0.892
Cl1 Cl 0.101 0.500 0.320
Cl2 Cl 0.406 0.000 0.705
```


ΔE to the lowest computed polymorph / meV per atom: 31; 141; 102; 139
Energy relative to the elements, uncorrected / eV per formula unit: 0.598; 1.150; 0.955; 1.140